Entry from the Open Quantum Materials Database: a relaxed GaReNi crystal (PBE-GGA).

```
3
Lattice="0.000 2.900 2.900 2.900 0.000 2.900 2.900 2.900 0.000" Properties=species:S:1:pos:R:3 pbc="T T T"
Ga 1.450 1.450 1.450
Ni 4.350 4.350 4.350
Re 0.000 0.000 0.000
```

- crystal system = cubic
- theoretical density (g cm⁻³) = 10.7
- size of the total moment (μB per atom) = 0.0045
- VASP energy (eV per atom) = -6.310